w.
Ba2LiPd2 | PBE | relaxed

Cell and atoms, written as CIF:
```
data_Ba2LiPd2
_cell_length_a 10.391
_cell_length_b 10.391
_cell_length_c 10.391
_cell_angle_alpha 157.45
_cell_angle_beta 157.45
_cell_angle_gamma 32.10
_space_group_name_H-M_alt 'P 1'
_space_group_IT_number 1
loop_
_space_group_symop_operation_xyz
'x,y,z'
loop_
_atom_site_label
_atom_site_fract_x
_atom_site_fract_y
_atom_site_fract_z
Ba1 0.131 0.131 0.000
Ba2 0.869 0.869 0.000
Li1 0.500 0.500 0.000
Pd1 0.250 0.750 0.500
Pd2 0.750 0.250 0.500
```

Calculated values
Total magnetization = 0.000 μB per formula unit

x.
Ba2LiPd2 | PBE | relaxed

Cell and atoms, written as CIF:
```
data_Ba2LiPd2
_cell_length_a 5.991
_cell_length_b 5.991
_cell_length_c 5.991
_cell_angle_alpha 117.52
_cell_angle_beta 117.52
_cell_angle_gamma 94.35
_space_group_name_H-M_alt 'P 1'
_space_group_IT_number 1
loop_
_space_group_symop_operation_xyz
'x,y,z'
loop_
_atom_site_label
_atom_site_fract_x
_atom_site_fract_y
_atom_site_fract_z
Ba1 0.250 0.750 0.500
Ba2 0.750 0.250 0.500
Li1 0.000 0.000 0.000
Pd1 0.332 0.332 0.000
Pd2 0.668 0.668 0.000
```

Calculated values
Total magnetization = 0.000 μB per formula unit

y.
Ba2LiPd2 | PBE | relaxed

Cell and atoms, written as CIF:
```
data_Ba2LiPd2
_cell_length_a 8.210
_cell_length_b 8.210
_cell_length_c 4.489
_cell_angle_alpha 90.00
_cell_angle_beta 90.00
_cell_angle_gamma 90.00
_space_group_name_H-M_alt 'P 1'
_space_group_IT_number 1
loop_
_space_group_symop_operation_xyz
'x,y,z'
loop_
_atom_site_label
_atom_site_fract_x
_atom_site_fract_y
_atom_site_fract_z
Ba1 0.173 0.327 0.000
Ba2 0.327 0.827 0.000
Ba3 0.673 0.173 0.000
Ba4 0.827 0.673 0.000
Li1 0.000 0.000 0.500
Li2 0.500 0.500 0.500
Pd1 0.122 0.622 0.500
Pd2 0.378 0.122 0.500
Pd3 0.622 0.878 0.500
Pd4 0.878 0.378 0.500
```

Calculated values
Total magnetization = 0.683 μB per formula unit

z.
Ba2LiPd2 | PBE | relaxed

Cell and atoms, written as CIF:
```
data_Ba2LiPd2
_cell_length_a 6.268
_cell_length_b 6.268
_cell_length_c 6.268
_cell_angle_alpha 137.41
_cell_angle_beta 120.98
_cell_angle_gamma 75.46
_space_group_name_H-M_alt 'P 1'
_space_group_IT_number 1
loop_
_space_group_symop_operation_xyz
'x,y,z'
loop_
_atom_site_label
_atom_site_fract_x
_atom_site_fract_y
_atom_site_fract_z
Ba1 0.191 0.191 0.000
Ba2 0.809 0.809 0.000
Li1 0.500 0.000 0.500
Pd1 0.262 0.500 0.762
Pd2 0.738 0.500 0.238
```

Calculated values
Total magnetization = 0.000 μB per formula unit

z (6.7 kJ/mol of atoms below the next structure)

w.
BaLi4Pd | PBE | relaxed

Cell and atoms, written as CIF:
```
data_BaLi4Pd
_cell_length_a 4.942
_cell_length_b 4.942
_cell_length_c 7.454
_cell_angle_alpha 90.00
_cell_angle_beta 90.05
_cell_angle_gamma 90.00
_space_group_name_H-M_alt 'P 1'
_space_group_IT_number 1
loop_
_space_group_symop_operation_xyz
'x,y,z'
loop_
_atom_site_label
_atom_site_fract_x
_atom_site_fract_y
_atom_site_fract_z
Ba1 0.000 0.000 0.000
Li1 0.000 0.500 0.500
Li2 0.500 0.000 0.500
Li3 0.500 0.500 0.186
Li4 0.500 0.500 0.814
Pd1 0.500 0.500 0.500
```

Calculated values
Total magnetization = 0.000 μB per formula unit

x.
BaLi4Pd | PBE | relaxed

Cell and atoms, written as CIF:
```
data_BaLi4Pd
_cell_length_a 5.725
_cell_length_b 5.725
_cell_length_c 5.725
_cell_angle_alpha 60.00
_cell_angle_beta 60.00
_cell_angle_gamma 60.00
_space_group_name_H-M_alt 'P 1'
_space_group_IT_number 1
loop_
_space_group_symop_operation_xyz
'x,y,z'
loop_
_atom_site_label
_atom_site_fract_x
_atom_site_fract_y
_atom_site_fract_z
Ba1 0.000 0.000 0.000
Li1 0.378 0.378 0.378
Li2 0.378 0.378 0.865
Li3 0.378 0.865 0.378
Li4 0.865 0.378 0.378
Pd1 0.750 0.750 0.750
```

Calculated values
Total magnetization = 0.000 μB per formula unit

y.
BaLi4Pd | PBE | relaxed

Cell and atoms, written as CIF:
```
data_BaLi4Pd
_cell_length_a 7.515
_cell_length_b 7.515
_cell_length_c 5.595
_cell_angle_alpha 98.46
_cell_angle_beta 98.46
_cell_angle_gamma 65.33
_space_group_name_H-M_alt 'P 1'
_space_group_IT_number 1
loop_
_space_group_symop_operation_xyz
'x,y,z'
loop_
_atom_site_label
_atom_site_fract_x
_atom_site_fract_y
_atom_site_fract_z
Ba1 0.197 0.803 0.750
Ba2 0.803 0.197 0.250
Li1 0.122 0.299 0.885
Li2 0.299 0.122 0.385
Li3 0.300 0.459 0.261
Li4 0.459 0.300 0.761
Li5 0.541 0.700 0.239
Li6 0.700 0.541 0.739
Li7 0.701 0.878 0.615
Li8 0.878 0.701 0.115
Pd1 0.000 0.500 0.500
Pd2 0.500 0.000 0.000
```

Calculated values
Total magnetization = 0.000 μB per formula unit

y (10.7 kJ/mol of atoms below the next structure)

w.
BaLi3Pd2 | PBE | relaxed

Cell and atoms, written as CIF:
```
data_BaLi3Pd2
_cell_length_a 5.821
_cell_length_b 5.821
_cell_length_c 4.227
_cell_angle_alpha 90.00
_cell_angle_beta 90.00
_cell_angle_gamma 120.00
_space_group_name_H-M_alt 'P 1'
_space_group_IT_number 1
loop_
_space_group_symop_operation_xyz
'x,y,z'
loop_
_atom_site_label
_atom_site_fract_x
_atom_site_fract_y
_atom_site_fract_z
Ba1 0.000 0.000 0.000
Li1 0.000 0.500 0.500
Li2 0.500 0.000 0.500
Li3 0.500 0.500 0.500
Pd1 0.333 0.667 0.000
Pd2 0.667 0.333 0.000
```

Calculated values
Total magnetization = 0.000 μB per formula unit

x.
BaLi3Pd2 | PBE | relaxed

Cell and atoms, written as CIF:
```
data_BaLi3Pd2
_cell_length_a 8.263
_cell_length_b 8.263
_cell_length_c 8.083
_cell_angle_alpha 113.91
_cell_angle_beta 113.91
_cell_angle_gamma 30.47
_space_group_name_H-M_alt 'P 1'
_space_group_IT_number 1
loop_
_space_group_symop_operation_xyz
'x,y,z'
loop_
_atom_site_label
_atom_site_fract_x
_atom_site_fract_y
_atom_site_fract_z
Ba1 0.148 0.148 0.061
Ba2 0.852 0.852 0.939
Li1 0.042 0.042 0.374
Li2 0.314 0.314 0.542
Li3 0.412 0.412 0.348
Li4 0.588 0.588 0.652
Li5 0.686 0.686 0.458
Li6 0.958 0.958 0.626
Pd1 0.188 0.188 0.681
Pd2 0.479 0.479 0.819
Pd3 0.521 0.521 0.181
Pd4 0.812 0.812 0.319
```

Calculated values
Total magnetization = 0.000 μB per formula unit

x (4.1 kJ/mol of atoms below the next structure)

w.
BaLi2Pd | PBE | relaxed

Cell and atoms, written as CIF:
```
data_BaLi2Pd
_cell_length_a 9.863
_cell_length_b 9.863
_cell_length_c 9.863
_cell_angle_alpha 151.23
_cell_angle_beta 151.23
_cell_angle_gamma 41.13
_space_group_name_H-M_alt 'P 1'
_space_group_IT_number 1
loop_
_space_group_symop_operation_xyz
'x,y,z'
loop_
_atom_site_label
_atom_site_fract_x
_atom_site_fract_y
_atom_site_fract_z
Ba1 0.375 0.625 0.750
Ba2 0.625 0.375 0.250
Li1 0.000 0.000 0.000
Li2 0.000 0.000 0.500
Li3 0.000 0.500 0.000
Li4 0.500 0.000 0.500
Pd1 0.125 0.875 0.250
Pd2 0.875 0.125 0.750
```

Calculated values
Total magnetization = 0.000 μB per formula unit

x.
BaLi2Pd | PBE | relaxed

Cell and atoms, written as CIF:
```
data_BaLi2Pd
_cell_length_a 6.298
_cell_length_b 6.298
_cell_length_c 6.298
_cell_angle_alpha 42.26
_cell_angle_beta 42.26
_cell_angle_gamma 42.26
_space_group_name_H-M_alt 'P 1'
_space_group_IT_number 1
loop_
_space_group_symop_operation_xyz
'x,y,z'
loop_
_atom_site_label
_atom_site_fract_x
_atom_site_fract_y
_atom_site_fract_z
Ba1 0.000 0.000 0.000
Li1 0.193 0.193 0.193
Li2 0.807 0.807 0.807
Pd1 0.500 0.500 0.500
```

Calculated values
Total magnetization = 0.000 μB per formula unit

y.
BaLi2Pd | PBE | relaxed

Cell and atoms, written as CIF:
```
data_BaLi2Pd
_cell_length_a 4.565
_cell_length_b 4.565
_cell_length_c 6.333
_cell_angle_alpha 111.19
_cell_angle_beta 111.19
_cell_angle_gamma 60.03
_space_group_name_H-M_alt 'P 1'
_space_group_IT_number 1
loop_
_space_group_symop_operation_xyz
'x,y,z'
loop_
_atom_site_label
_atom_site_fract_x
_atom_site_fract_y
_atom_site_fract_z
Ba1 0.000 0.000 0.000
Li1 0.518 0.518 0.553
Li2 0.815 0.815 0.444
Pd1 0.201 0.201 0.605
```

Calculated values
Total magnetization = 0.000 μB per formula unit

y (6.0 kJ/mol of atoms below the next structure)

w.
BaLiPd3 | PBE | relaxed

Cell and atoms, written as CIF:
```
data_BaLiPd3
_cell_length_a 4.648
_cell_length_b 4.648
_cell_length_c 4.648
_cell_angle_alpha 90.00
_cell_angle_beta 90.00
_cell_angle_gamma 90.00
_space_group_name_H-M_alt 'P 1'
_space_group_IT_number 1
loop_
_space_group_symop_operation_xyz
'x,y,z'
loop_
_atom_site_label
_atom_site_fract_x
_atom_site_fract_y
_atom_site_fract_z
Ba1 0.000 0.000 0.000
Li1 0.500 0.500 0.500
Pd1 0.000 0.500 0.500
Pd2 0.500 0.000 0.500
Pd3 0.500 0.500 0.000
```

Calculated values
Total magnetization = 0.000 μB per formula unit

x.
BaLiPd3 | PBE | relaxed

Cell and atoms, written as CIF:
```
data_BaLiPd3
_cell_length_a 6.397
_cell_length_b 6.397
_cell_length_c 5.687
_cell_angle_alpha 90.00
_cell_angle_beta 90.00
_cell_angle_gamma 120.00
_space_group_name_H-M_alt 'P 1'
_space_group_IT_number 1
loop_
_space_group_symop_operation_xyz
'x,y,z'
loop_
_atom_site_label
_atom_site_fract_x
_atom_site_fract_y
_atom_site_fract_z
Ba1 0.333 0.667 0.250
Ba2 0.667 0.333 0.750
Li1 0.000 0.000 0.000
Li2 0.000 0.000 0.500
Pd1 0.184 0.368 0.750
Pd2 0.184 0.816 0.750
Pd3 0.368 0.184 0.250
Pd4 0.632 0.816 0.750
Pd5 0.816 0.184 0.250
Pd6 0.816 0.632 0.250
```

Calculated values
Total magnetization = 0.000 μB per formula unit

x (2.7 kJ/mol of atoms below the next structure)

w.
Ba4LiPd | PBE | relaxed

Cell and atoms, written as CIF:
```
data_Ba4LiPd
_cell_length_a 9.478
_cell_length_b 9.478
_cell_length_c 7.557
_cell_angle_alpha 106.19
_cell_angle_beta 106.19
_cell_angle_gamma 111.03
_space_group_name_H-M_alt 'P 1'
_space_group_IT_number 1
loop_
_space_group_symop_operation_xyz
'x,y,z'
loop_
_atom_site_label
_atom_site_fract_x
_atom_site_fract_y
_atom_site_fract_z
Ba1 0.056 0.721 0.918
Ba2 0.215 0.353 0.693
Ba3 0.279 0.944 0.582
Ba4 0.353 0.215 0.193
Ba5 0.647 0.785 0.807
Ba6 0.721 0.056 0.418
Ba7 0.785 0.647 0.307
Ba8 0.944 0.279 0.082
Li1 0.367 0.633 0.250
Li2 0.633 0.367 0.750
Pd1 0.002 0.998 0.250
Pd2 0.998 0.002 0.750
```

Calculated values
Total magnetization = 0.000 μB per formula unit

x.
Ba4LiPd | PBE | relaxed

Cell and atoms, written as CIF:
```
data_Ba4LiPd
_cell_length_a 10.200
_cell_length_b 10.200
_cell_length_c 8.521
_cell_angle_alpha 105.75
_cell_angle_beta 105.75
_cell_angle_gamma 44.70
_space_group_name_H-M_alt 'P 1'
_space_group_IT_number 1
loop_
_space_group_symop_operation_xyz
'x,y,z'
loop_
_atom_site_label
_atom_site_fract_x
_atom_site_fract_y
_atom_site_fract_z
Ba1 0.012 0.799 0.531
Ba2 0.201 0.988 0.969
Ba3 0.223 0.402 0.859
Ba4 0.402 0.223 0.359
Ba5 0.598 0.777 0.641
Ba6 0.777 0.598 0.141
Ba7 0.799 0.012 0.031
Ba8 0.988 0.201 0.469
Li1 0.394 0.606 0.250
Li2 0.606 0.394 0.750
Pd1 0.000 0.500 0.500
Pd2 0.500 0.000 0.000
```

Calculated values
Total magnetization = 0.000 μB per formula unit

x (1.0 kJ/mol of atoms below the next structure)

w.
BaLi2Pd2 | PBE | relaxed

Cell and atoms, written as CIF:
```
data_BaLi2Pd2
_cell_length_a 7.849
_cell_length_b 7.849
_cell_length_c 3.222
_cell_angle_alpha 90.00
_cell_angle_beta 90.00
_cell_angle_gamma 90.00
_space_group_name_H-M_alt 'P 1'
_space_group_IT_number 1
loop_
_space_group_symop_operation_xyz
'x,y,z'
loop_
_atom_site_label
_atom_site_fract_x
_atom_site_fract_y
_atom_site_fract_z
Ba1 0.000 0.000 0.000
Ba2 0.500 0.500 0.000
Li1 0.116 0.384 0.000
Li2 0.384 0.884 0.000
Li3 0.616 0.116 0.000
Li4 0.884 0.616 0.000
Pd1 0.169 0.669 0.500
Pd2 0.331 0.169 0.500
Pd3 0.669 0.831 0.500
Pd4 0.831 0.331 0.500
```

Calculated values
Total magnetization = 0.000 μB per formula unit

x.
BaLi2Pd2 | PBE | relaxed

Cell and atoms, written as CIF:
```
data_BaLi2Pd2
_cell_length_a 7.964
_cell_length_b 7.964
_cell_length_c 3.135
_cell_angle_alpha 90.00
_cell_angle_beta 90.00
_cell_angle_gamma 90.00
_space_group_name_H-M_alt 'P 1'
_space_group_IT_number 1
loop_
_space_group_symop_operation_xyz
'x,y,z'
loop_
_atom_site_label
_atom_site_fract_x
_atom_site_fract_y
_atom_site_fract_z
Ba1 0.000 0.000 0.000
Ba2 0.500 0.500 0.000
Li1 0.124 0.376 0.500
Li2 0.376 0.876 0.500
Li3 0.624 0.124 0.500
Li4 0.876 0.624 0.500
Pd1 0.157 0.657 0.000
Pd2 0.343 0.157 0.000
Pd3 0.657 0.843 0.000
Pd4 0.843 0.343 0.000
```

Calculated values
Total magnetization = 0.000 μB per formula unit

y.
BaLi2Pd2 | PBE | relaxed

Cell and atoms, written as CIF:
```
data_BaLi2Pd2
_cell_length_a 6.483
_cell_length_b 6.483
_cell_length_c 6.483
_cell_angle_alpha 140.49
_cell_angle_beta 140.49
_cell_angle_gamma 57.11
_space_group_name_H-M_alt 'P 1'
_space_group_IT_number 1
loop_
_space_group_symop_operation_xyz
'x,y,z'
loop_
_atom_site_label
_atom_site_fract_x
_atom_site_fract_y
_atom_site_fract_z
Ba1 0.000 0.000 0.000
Li1 0.250 0.750 0.500
Li2 0.750 0.250 0.500
Pd1 0.381 0.381 0.000
Pd2 0.619 0.619 0.000
```

Calculated values
Total magnetization = 0.000 μB per formula unit

y (11.0 kJ/mol of atoms below the next structure)

w.
Ba2Li2Pd | PBE | relaxed

Cell and atoms, written as CIF:
```
data_Ba2Li2Pd
_cell_length_a 6.719
_cell_length_b 6.719
_cell_length_c 6.719
_cell_angle_alpha 134.00
_cell_angle_beta 133.83
_cell_angle_gamma 67.22
_space_group_name_H-M_alt 'P 1'
_space_group_IT_number 1
loop_
_space_group_symop_operation_xyz
'x,y,z'
loop_
_atom_site_label
_atom_site_fract_x
_atom_site_fract_y
_atom_site_fract_z
Ba1 0.179 0.179 0.000
Ba2 0.821 0.821 0.000
Li1 0.269 0.500 0.769
Li2 0.731 0.500 0.231
Pd1 0.500 0.000 0.500
```

Calculated values
Total magnetization = 0.000 μB per formula unit

x.
Ba2Li2Pd | PBE | relaxed

Cell and atoms, written as CIF:
```
data_Ba2Li2Pd
_cell_length_a 10.652
_cell_length_b 10.652
_cell_length_c 10.652
_cell_angle_alpha 158.39
_cell_angle_beta 158.39
_cell_angle_gamma 30.75
_space_group_name_H-M_alt 'P 1'
_space_group_IT_number 1
loop_
_space_group_symop_operation_xyz
'x,y,z'
loop_
_atom_site_label
_atom_site_fract_x
_atom_site_fract_y
_atom_site_fract_z
Ba1 0.091 0.091 0.000
Ba2 0.909 0.909 0.000
Li1 0.250 0.750 0.500
Li2 0.750 0.250 0.500
Pd1 0.500 0.500 0.000
```

Calculated values
Total magnetization = 0.000 μB per formula unit

w (2.9 kJ/mol of atoms below the next structure)